<w>
An optimized crystal structure of Pb2WAu, computed with PBEsol.

- space group = I4/mmm (139)

Lattice parameters (Å, degrees): 4.3768 4.3768 5.3112 114.33 114.33 90.00
Each line ends with the local moment (μB).
Atoms (fractional coordinates):
Pb 0.2500 0.7500 0.5000  -0.01
Pb 0.7500 0.2500 0.5000  -0.01
W 0.5000 0.5000 0.0000  0.53
Au 0.0000 0.0000 0.0000  -0.01

<x>
An optimized crystal structure of Pb2WAu, computed with PBEsol.

- space group = R-3m (166)

Lattice parameters (Å, degrees): 3.0498 3.0498 10.8819 81.94 81.94 60.00
Atoms (fractional coordinates):
Pb 0.2448 0.2448 0.2656
Pb 0.7552 0.7552 0.7344
W 0.5000 0.5000 0.5000
Au 0.0000 0.0000 0.0000

Last place for stability: <w>

<w>
An optimized crystal structure of ZnPbAu2, computed with PBEsol.

- space group = I4/mmm (139)

Lattice parameters (Å, degrees): 4.2343 4.2343 5.2020 114.02 114.02 90.00
Atoms (fractional coordinates):
Pb 0.5000 0.5000 0.0000
Au 0.2500 0.7500 0.5000
Au 0.7500 0.2500 0.5000
Zn 0.0000 0.0000 0.0000

<x>
An optimized crystal structure of ZnPbAu2, computed with PBEsol.

- space group = R-3m (166)

Lattice parameters (Å, degrees): 4.2993 4.2993 5.6666 67.71 67.71 60.00
Atoms (fractional coordinates):
Au 0.2210 0.2210 0.3371
Au 0.7790 0.7790 0.6629
Pb 0.0000 0.0000 0.0000
Zn 0.5000 0.5000 0.5000

Last place for stability: <w>

<w>
An optimized crystal structure of Pt5Au, computed with PBEsol.

- space group = Cm (8)

Lattice parameters (Å, degrees): 2.7371 5.4435 6.7196 107.23 90.00 104.56
Atoms (fractional coordinates):
Pt 0.3890 0.7780 0.2849
Pt 0.6660 0.3320 0.3318
Pt 0.3294 0.6589 0.6606
Pt 0.7261 0.4522 0.9481
Pt 0.0572 0.1144 0.6119
Au 0.9989 0.9978 0.9960

<x>
An optimized crystal structure of Pt5Au, computed with PBEsol.

- space group = F-43m (216)

Lattice parameters (Å, degrees): 5.1718 5.1718 5.1718 60.00 60.00 60.00
Atoms (fractional coordinates):
Pt 0.3751 0.3751 0.3751
Pt 0.7500 0.7500 0.7500
Pt 0.3751 0.3751 0.8746
Pt 0.3751 0.8746 0.3751
Pt 0.8746 0.3751 0.3751
Au 0.0000 0.0000 0.0000

Last place for stability: <x>